[1]
First-principles (PBE-GGA) data for crystalline SrRhBr3 at its relaxed geometry, as listed in Alexandria via LeMat-Bulk.

Magnetization   0.00 μB per cell
Density   5.22 g cm⁻³
Offset from the most stable computed form   0 meV/atom
Raw formation energy   -918 meV/atom
D(E_F)   1.31 states/eV/f.u.

```
SrRhBr3
1.0
5.155 0.000 0.000
0.000 5.155 0.000
0.000 0.000 5.155
Br Rh Sr
3 1 1
Cartesian
0.000 0.000 2.578
0.000 2.578 0.000
2.578 0.000 0.000
0.000 0.000 0.000
2.578 2.578 2.578
```

[2]
First-principles (PBE-GGA) data for crystalline Sr3RhBr3 at its relaxed geometry, as listed in Alexandria via LeMat-Bulk.

Magnetization   0.00 μB per cell
Density   4.17 g cm⁻³
Raw formation energy   -1417 meV/atom

```
Sr3RhBr3
1.0
-5.540 7.925 -4.767
0.411 -8.546 -6.559
-4.884 -2.766 9.205
Br Sr Rh
12 12 4
Cartesian
-3.626 -3.681 0.127
-6.017 -6.652 -2.035
-4.781 -4.897 7.558
-2.141 -7.796 -0.313
-3.782 -1.010 -3.363
-2.301 -5.112 -3.809
-3.465 -6.345 3.621
-7.507 -2.543 -1.599
-5.850 -9.328 1.450
-7.338 -5.215 1.905
-6.188 -3.982 -5.524
-4.945 -2.235 4.079
-6.425 2.922 -5.687
-5.226 1.425 -9.569
-5.073 -1.067 -6.311
-4.072 3.171 -0.156
-6.277 -2.246 1.256
-7.754 4.458 -1.864
-6.311 0.388 -2.179
-4.281 5.892 -3.516
-3.782 0.550 3.278
-2.798 1.864 -4.081
-2.548 -0.798 -0.398
-7.665 1.594 1.673
-1.221 -0.691 2.301
-5.109 0.443 0.579
-3.949 1.671 -6.855
-5.273 3.116 -2.914
```

[3]
First-principles (PBE-GGA) data for crystalline SrRhBr at its relaxed geometry, as listed in Alexandria via LeMat-Bulk.

Magnetization   0.91 μB per cell
Density   5.38 g cm⁻³
Offset from the most stable computed form   69 meV/atom
Raw formation energy   -955 meV/atom
D(E_F)   2.41 states/eV/f.u.

```
SrRhBr
1.0
-3.213 -0.536 -1.948
1.809 -2.398 -2.324
-2.756 -8.837 6.977
Sr Br Rh
2 2 2
Cartesian
-3.690 -6.308 3.553
0.371 -2.265 -0.559
-2.508 -2.515 0.560
-0.811 -6.058 2.433
-2.682 -7.971 6.057
-3.383 -9.439 3.920
```

[4]
First-principles (PBE-GGA) data for crystalline Sr2RhBr at its relaxed geometry, as listed in Alexandria via LeMat-Bulk.

Magnetization   0.00 μB per cell
Density   4.90 g cm⁻³
Offset from the most stable computed form   91 meV/atom
Raw formation energy   -788 meV/atom
D(E_F)   1.20 states/eV/f.u.

```
Sr2RhBr
1.0
-5.907 0.833 1.304
0.052 -3.647 2.563
1.127 2.488 3.518
Rh Sr Br
1 2 1
Cartesian
-1.922 -0.597 5.972
1.032 -1.016 5.321
-2.511 -0.017 2.932
0.442 -0.436 2.281
```

[5]
First-principles (PBE-GGA) data for crystalline SrRhBr at its relaxed geometry, as listed in Alexandria via LeMat-Bulk.

Magnetization   0.00 μB per cell
Density   4.18 g cm⁻³
Offset from the most stable computed form   842 meV/atom
Raw formation energy   -182 meV/atom
D(E_F)   1.11 states/eV/f.u.

```
SrRhBr
1.0
4.452 -2.570 0.000
0.000 5.140 0.000
0.000 0.000 9.397
Br Rh Sr
2 2 2
Cartesian
0.000 0.000 2.349
0.000 0.000 7.047
0.000 0.000 4.698
0.000 0.000 0.000
1.484 2.570 2.349
2.968 0.000 7.047
```

[6]
First-principles (PBE-GGA) data for crystalline SrRhBr at its relaxed geometry, as listed in Alexandria via LeMat-Bulk.

Magnetization   0.00 μB per cell
Density   6.39 g cm⁻³
Offset from the most stable computed form   439 meV/atom
Raw formation energy   -584 meV/atom
D(E_F)   1.15 states/eV/f.u.

```
SrRhBr
1.0
-3.377 0.344 2.926
-0.862 -0.384 -4.381
-0.089 -4.024 0.370
Br Rh Sr
1 1 1
Cartesian
-0.015 -0.672 0.062
-2.553 -0.569 0.552
-1.759 -2.823 -1.699
```

[7]
First-principles (PBE-GGA) data for crystalline SrRhBr at its relaxed geometry, as listed in Alexandria via LeMat-Bulk.

Magnetization   0.00 μB per cell
Density   5.55 g cm⁻³
Offset from the most stable computed form   251 meV/atom
Raw formation energy   -773 meV/atom
D(E_F)   1.15 states/eV/f.u.

```
SrRhBr
1.0
-3.569 -2.275 0.059
4.962 -3.795 1.948
0.635 3.090 5.722
Rh Sr Br
2 2 2
Cartesian
0.808 -0.861 0.695
0.267 0.123 5.917
-1.241 -1.518 3.329
3.330 -0.713 7.146
4.542 -2.704 3.723
1.496 -1.835 4.848
```

[8]
First-principles (PBE-GGA) data for crystalline SrRhBr at its relaxed geometry, as listed in Alexandria via LeMat-Bulk.

Magnetization   0.00 μB per cell
Density   5.48 g cm⁻³
Offset from the most stable computed form   116 meV/atom
Raw formation energy   -907 meV/atom
D(E_F)   0.00 states/eV/f.u.

```
SrRhBr
1.0
-2.672 0.336 3.216
3.274 -0.622 2.784
-0.188 9.181 -1.117
Rh Br Sr
2 2 2
Cartesian
-0.978 8.907 1.895
0.149 7.456 0.247
-0.274 4.894 0.173
-0.376 2.288 3.097
2.366 0.380 2.834
0.262 6.179 3.214
```

[9]
First-principles (PBE-GGA) data for crystalline Sr2RhBr at its relaxed geometry, as listed in Alexandria via LeMat-Bulk.

Magnetization   0.00 μB per cell
Density   5.13 g cm⁻³
Offset from the most stable computed form   374 meV/atom
Raw formation energy   -504 meV/atom
D(E_F)   1.57 states/eV/f.u.

```
Sr2RhBr
1.0
-1.738 2.507 -6.160
3.709 -0.292 -5.780
-2.310 -3.781 5.256
Sr Rh Br
2 1 1
Cartesian
1.192 -1.483 -3.247
0.000 0.000 0.000
-1.531 -0.083 -3.437
0.986 1.107 -5.970
```

[10]
First-principles (PBE-GGA) data for crystalline SrRhBr at its relaxed geometry, as listed in Alexandria via LeMat-Bulk.

Magnetization   0.00 μB per cell
Density   5.48 g cm⁻³
Offset from the most stable computed form   647 meV/atom
Raw formation energy   -376 meV/atom
D(E_F)   1.75 states/eV/f.u.

```
SrRhBr
1.0
-2.158 3.648 3.816
0.631 -1.097 5.561
3.252 0.189 -4.682
Sr Rh Br
1 1 1
Cartesian
-0.470 0.786 2.889
-1.101 1.839 6.758
-1.483 2.478 9.107
```

[11]
First-principles (PBE-GGA) data for crystalline Sr5Rh2Br2 at its relaxed geometry, as listed in Alexandria via LeMat-Bulk.

Magnetization   0.00 μB per cell
Density   4.61 g cm⁻³
Raw formation energy   -831 meV/atom
D(E_F)   3.37 states/eV/f.u.

```
Sr5Rh2Br2
1.0
-7.437 -1.510 -3.180
-2.103 -4.066 6.851
-6.653 6.511 1.821
Rh Sr Br
4 10 4
Cartesian
-4.668 -4.147 4.819
-7.843 -3.852 1.458
-4.873 -1.429 -1.147
-1.698 -1.725 2.213
-8.798 3.626 1.070
-7.395 -2.692 4.423
-12.881 2.166 0.667
-3.529 0.543 0.858
-7.612 -0.917 0.455
-8.581 1.851 5.038
-12.664 0.391 4.635
0.000 0.000 0.000
-3.312 -1.232 4.826
-4.770 -2.788 1.836
-10.161 0.598 2.190
-6.032 0.336 3.302
-5.391 3.387 0.355
-8.699 1.614 -1.713
```

[12]
First-principles (PBE-GGA) data for crystalline Sr2RhBr at its relaxed geometry, as listed in Alexandria via LeMat-Bulk.

Magnetization   0.00 μB per cell
Density   5.25 g cm⁻³
Offset from the most stable computed form   128 meV/atom
Raw formation energy   -750 meV/atom
D(E_F)   1.49 states/eV/f.u.

```
Sr2RhBr
1.0
6.094 -0.015 -0.002
4.875 3.656 -0.001
0.002 0.000 5.063
Sr Br Rh
2 1 1
Cartesian
2.774 0.921 1.898
10.872 3.609 4.426
5.705 1.894 1.896
8.074 2.680 4.429
```

[13]
First-principles (PBE-GGA) data for crystalline SrRhBr at its relaxed geometry, as listed in Alexandria via LeMat-Bulk.

Magnetization   0.00 μB per cell
Density   5.47 g cm⁻³
Offset from the most stable computed form   107 meV/atom
Raw formation energy   -916 meV/atom
D(E_F)   2.27 states/eV/f.u.

```
SrRhBr
1.0
3.701 -0.001 0.054
0.001 3.701 0.001
-0.111 0.005 11.982
Br Rh Sr
2 2 2
Cartesian
2.403 2.079 6.497
0.473 0.217 2.981
2.340 2.074 10.470
0.455 0.224 10.991
2.349 2.067 1.349
0.528 0.229 8.130
```

[14]
First-principles (PBE-GGA) data for crystalline SrRhBr at its relaxed geometry, as listed in Alexandria via LeMat-Bulk.

Magnetization   0.00 μB per cell
Density   6.00 g cm⁻³
Offset from the most stable computed form   676 meV/atom
Raw formation energy   -348 meV/atom
D(E_F)   0.56 states/eV/f.u.

```
SrRhBr
1.0
-0.624 -3.074 3.543
-3.312 -3.362 -0.340
1.270 -4.526 -0.543
Sr Br Rh
1 1 1
Cartesian
-2.000 -8.221 1.994
-0.667 -2.740 0.665
-1.333 -5.481 1.329
```

[15]
First-principles (PBE-GGA) data for crystalline SrRhBr at its relaxed geometry, as listed in Alexandria via LeMat-Bulk.

Magnetization   0.98 μB per cell
Density   4.81 g cm⁻³
Offset from the most stable computed form   2 meV/atom
Raw formation energy   -1021 meV/atom
D(E_F)   1.81 states/eV/f.u.

```
SrRhBr
1.0
4.230 0.038 -0.001
1.882 3.787 0.000
-2.014 1.331 11.699
Br Sr Rh
2 2 2
Cartesian
0.623 1.095 2.831
2.838 2.465 6.380
0.733 1.148 8.128
4.629 3.603 1.082
2.694 2.376 10.455
0.627 3.691 10.456
```

[16]
First-principles (PBE-GGA) data for crystalline SrRhBr at its relaxed geometry, as listed in Alexandria via LeMat-Bulk.

Magnetization   0.82 μB per cell
Density   4.88 g cm⁻³
Offset from the most stable computed form   233 meV/atom
Raw formation energy   -791 meV/atom
D(E_F)   1.86 states/eV/f.u.

```
SrRhBr
1.0
4.228 0.000 0.000
-4.228 8.556 0.047
2.114 -2.245 5.075
Br Sr Rh
2 2 2
Cartesian
1.911 5.049 1.403
1.912 5.985 5.074
-0.203 6.996 2.956
-0.203 2.571 1.152
4.025 1.466 4.052
1.910 0.894 3.061
```

[17]
First-principles (PBE-GGA) data for crystalline SrRh3Br at its relaxed geometry, as listed in Alexandria via LeMat-Bulk.

Magnetization   0.00 μB per cell
Density   7.47 g cm⁻³
Offset from the most stable computed form   0 meV/atom
Raw formation energy   351 meV/atom
D(E_F)   6.52 states/eV/f.u.

```
SrRh3Br
1.0
-0.397 -0.472 4.691
2.546 -3.984 -0.185
3.968 2.509 0.588
Br Rh Sr
1 3 1
Cartesian
0.000 0.000 0.000
1.984 1.254 0.294
-0.198 -0.236 2.346
1.273 -1.992 -0.093
3.059 -0.973 2.547
```

[18]
First-principles (PBE-GGA) data for crystalline SrRhBr at its relaxed geometry, as listed in Alexandria via LeMat-Bulk.

Magnetization   0.00 μB per cell
Density   5.09 g cm⁻³
Offset from the most stable computed form   230 meV/atom
Raw formation energy   -794 meV/atom
D(E_F)   0.31 states/eV/f.u.

```
SrRhBr
1.0
4.180 0.001 -0.001
2.091 5.559 0.001
-2.092 -0.621 7.590
Rh Br Sr
2 2 2
Cartesian
2.986 1.457 6.636
2.989 1.305 0.103
2.985 3.145 4.590
5.076 5.357 2.247
0.895 0.728 4.473
0.895 3.821 7.469
```

[19]
First-principles (PBE-GGA) data for crystalline Sr2RhBr at its relaxed geometry, as listed in Alexandria via LeMat-Bulk.

Magnetization   0.00 μB per cell
Density   4.82 g cm⁻³
Offset from the most stable computed form   85 meV/atom
Raw formation energy   -793 meV/atom
D(E_F)   1.04 states/eV/f.u.

```
Sr2RhBr
1.0
8.601 0.009 -0.003
6.833 5.224 0.003
-7.748 -2.526 2.752
Br Rh Sr
1 1 2
Cartesian
8.443 2.863 0.000
5.098 0.326 1.374
2.911 2.492 1.378
14.384 4.877 0.000
```

[20]
First-principles (PBE-GGA) data for crystalline Sr2RhBr at its relaxed geometry, as listed in Alexandria via LeMat-Bulk.

Magnetization   0.00 μB per cell
Density   4.31 g cm⁻³
Offset from the most stable computed form   225 meV/atom
Raw formation energy   -653 meV/atom
D(E_F)   0.00 states/eV/f.u.

```
Sr2RhBr
1.0
7.797 0.000 0.000
0.000 7.797 0.000
3.899 3.899 4.539
Sr Br Rh
4 2 2
Cartesian
1.680 5.848 1.135
9.747 10.016 3.405
6.117 1.949 1.135
5.848 5.579 3.405
3.899 7.797 2.270
3.899 3.899 0.000
7.797 3.899 2.270
0.000 0.000 0.000
```

[21]
First-principles (PBE-GGA) data for crystalline SrRhBr at its relaxed geometry, as listed in Alexandria via LeMat-Bulk.

Magnetization   0.78 μB per cell
Density   5.84 g cm⁻³
Offset from the most stable computed form   747 meV/atom
Raw formation energy   -277 meV/atom
D(E_F)   1.99 states/eV/f.u.

```
SrRhBr
1.0
5.016 0.000 0.000
0.000 5.016 0.000
0.000 0.000 6.110
Rh Br Sr
2 2 2
Cartesian
2.508 0.000 4.314
0.000 2.508 1.796
0.000 0.000 3.055
2.508 2.508 3.055
0.000 2.508 5.077
2.508 0.000 1.033
```

[22]
First-principles (PBE-GGA) data for crystalline SrRhBr at its relaxed geometry, as listed in Alexandria via LeMat-Bulk.

Magnetization   0.00 μB per cell
Density   6.03 g cm⁻³
Offset from the most stable computed form   432 meV/atom
Raw formation energy   -592 meV/atom
D(E_F)   0.19 states/eV/f.u.

```
SrRhBr
1.0
6.211 0.000 0.000
0.000 5.997 0.000
0.000 0.000 8.001
Br Rh Sr
4 4 4
Cartesian
4.381 4.498 4.057
4.936 1.499 0.057
1.275 4.498 7.945
1.830 1.499 3.944
3.339 1.499 1.952
2.872 4.498 6.050
5.978 4.498 5.952
0.233 1.499 2.049
1.305 4.498 3.336
1.801 1.499 7.337
4.906 1.499 4.665
4.410 4.498 0.664
```

[23]
First-principles (PBE-GGA) data for crystalline SrRhBr at its relaxed geometry, as listed in Alexandria via LeMat-Bulk.

Magnetization   0.00 μB per cell
Density   6.31 g cm⁻³
Offset from the most stable computed form   468 meV/atom
Raw formation energy   -556 meV/atom
D(E_F)   0.58 states/eV/f.u.

```
SrRhBr
1.0
-0.734 3.550 -2.568
-3.023 -1.223 3.016
3.686 4.860 5.664
Br Rh Sr
2 2 2
Cartesian
-1.339 1.583 2.571
1.267 5.604 3.542
0.504 4.013 5.403
-0.576 3.174 0.710
0.000 0.000 0.000
1.843 2.430 2.832
```

[24]
First-principles (PBE-GGA) data for crystalline Sr2RhBr at its relaxed geometry, as listed in Alexandria via LeMat-Bulk.

Magnetization   0.00 μB per cell
Density   5.36 g cm⁻³
Offset from the most stable computed form   3 meV/atom
Raw formation energy   -875 meV/atom
D(E_F)   0.50 states/eV/f.u.

```
Sr2RhBr
1.0
3.661 0.000 0.000
0.000 3.721 0.015
0.000 3.709 8.163
Rh Sr Br
1 2 1
Cartesian
1.831 5.572 6.134
0.000 3.704 7.887
0.000 3.720 4.365
1.831 1.857 2.045
```

[25]
First-principles (PBE-GGA) data for crystalline Sr2RhBr at its relaxed geometry, as listed in Alexandria via LeMat-Bulk.

Magnetization   0.00 μB per cell
Density   5.48 g cm⁻³
Offset from the most stable computed form   210 meV/atom
Raw formation energy   -668 meV/atom
D(E_F)   0.00 states/eV/f.u.

```
Sr2RhBr
1.0
0.000 3.785 3.785
3.785 0.000 3.785
3.785 3.785 0.000
Sr Rh Br
2 1 1
Cartesian
5.677 5.677 5.677
1.892 1.892 1.892
3.785 3.785 3.785
0.000 0.000 0.000
```

[26]
First-principles (PBE-GGA) data for crystalline Sr4RhBr4 at its relaxed geometry, as listed in Alexandria via LeMat-Bulk.

Magnetization   0.00 μB per cell
Density   3.96 g cm⁻³
Raw formation energy   -1483 meV/atom
D(E_F)   1.77 states/eV/f.u.

```
Sr4RhBr4
1.0
4.235 0.000 1.001
1.755 7.755 2.033
-0.097 0.168 9.871
Br Sr Rh
4 4 1
Cartesian
0.758 1.429 6.252
5.134 6.495 6.652
3.665 3.098 3.412
2.228 4.826 9.493
4.405 7.148 9.738
1.617 5.730 2.616
1.487 0.776 3.167
4.275 2.194 10.289
2.117 0.000 0.500
```